Compound: CsCd3Os
Source: Alexandria
Functional: PBE
Structure: optimized geometry

Results
Magnetization   3.082 μB per formula unit
Calculated density   2.946 Mg/m³
Formation enthalpy at 0 K   1927 meV/atom
DOS at the Fermi energy   33.99 states/eV/f.u.
Symmetry   Pm-3m
Distance to the lowest polymorph of the same formula   1522.5 meV/atom
Crystal system   cubic

Structure (extended XYZ):
```
5
Lattice="7.193 0.000 0.000 0.000 7.193 0.000 0.000 0.000 7.193" Properties=species:S:1:pos:R:3 pbc="T T T"
Cs 0.000 0.000 0.000
Cd 0.000 0.000 3.597
Cd 0.000 3.597 0.000
Cd 3.597 0.000 0.000
Os 3.597 3.597 3.597
```